one) Crystalline LaInCl2 at its relaxed geometry, computed with GGA-PBEsol.

Unit cell a=5.327 b=4.000 c=10.039 alpha=90.00 beta=90.00 gamma=90.00
Fractional coordinates of all 8 atoms:
La 0.000 0.000 0.000
La 0.000 0.500 0.500
In 0.500 0.000 0.401
In 0.500 0.500 0.901
Cl 0.000 0.000 0.712
Cl 0.000 0.500 0.212
Cl 0.500 0.000 0.121
Cl 0.500 0.500 0.621

Computed properties:
magnetization = 0.0 Bohr magnetons per cell


two) Crystalline LaInCl2 at its relaxed geometry, computed with GGA-PBEsol.

Unit cell a=3.574 b=3.574 c=29.143 alpha=90.00 beta=90.00 gamma=120.00
Fractional coordinates of all 12 atoms:
La 0.000 0.000 0.000
La 0.333 0.667 0.667
La 0.667 0.333 0.333
In 0.000 0.000 0.500
In 0.333 0.667 0.167
In 0.667 0.333 0.833
Cl 0.000 0.000 0.264
Cl 0.000 0.000 0.736
Cl 0.333 0.667 0.402
Cl 0.333 0.667 0.931
Cl 0.667 0.333 0.069
Cl 0.667 0.333 0.598

Computed properties:
magnetization = 0.0 Bohr magnetons per cell


In meV per atom, relative to the most stable structure: one) 28; two) 0.